Here is TcIBr after structural relaxation from the Alexandria database. Energies are from PBE.

Computed properties:
Formation energy without anion corrections in meV/atom: 111
Total moment in μB/cell: 0.001
E above lowest polymorph in meV per atom: 44

a b c (Å): 11.831 6.861 5.609
angles (deg): 90.00 114.58 90.00
Space group C2 (No. 5)
One atom of each set of equivalent atoms:
Tc 0.076 0.000 0.435 (multiplicity 4)
I 0.247 0.253 0.730 (multiplicity 4)
Br 0.000 0.179 0.000 (multiplicity 2)
Br 0.000 0.659 0.500 (multiplicity 2)


Here is KSrCo2 after structural relaxation from the Alexandria database. Energies are from PBE.

Computed properties:
Total moment in μB/cell: 12.476
D(E_F) in states/eV per atom: 4.547
ΔE_f in eV/atom: 1.1216
E above lowest polymorph in meV per atom: 751

a b c (Å): 7.499 7.499 7.499
angles (deg): 90.00 90.00 90.00
Space group Fm-3m (No. 225)
One atom of each set of equivalent atoms:
K 0.000 0.000 0.000 (multiplicity 4)
Sr 0.000 0.000 0.500 (multiplicity 4)
Co 0.250 0.250 0.250 (multiplicity 8)


Here is SrPd3Cl after structural relaxation from the Alexandria database. Energies are from PBE.

Computed properties:
Formation energy without anion corrections in meV/atom: 833
Total moment in μB/cell: 0.000
D(E_F) in states/eV per atom: 0.686
E above lowest polymorph in meV per atom: 960

a b c (Å): 5.278 5.278 5.278
angles (deg): 90.00 90.00 90.00
Space group Pm-3m (No. 221)
One atom of each set of equivalent atoms:
Sr 0.000 0.000 0.000 (multiplicity 1)
Pd 0.000 0.000 0.500 (multiplicity 3)
Cl 0.500 0.500 0.500 (multiplicity 1)


Here is Li2InOs after structural relaxation from the Alexandria database. Energies are from PBE.

Computed properties:
Total moment in μB/cell: 0.000
D(E_F) in states/eV per atom: 0.391
ΔE_f in eV/atom: 0.2200

a b c (Å): 2.853 4.571 9.024
angles (deg): 90.00 90.00 90.00
Space group Imm2 (No. 44)
One atom of each set of equivalent atoms:
Li 0.000 0.000 0.000 (multiplicity 2)
Li 0.000 0.500 0.273 (multiplicity 2)
In 0.000 0.000 0.522 (multiplicity 2)
Os 0.000 0.500 0.748 (multiplicity 2)


Here is CdGeO3 after structural relaxation from the Alexandria database. Energies are from PBE.

Computed properties:
Formation energy without anion corrections in meV/atom: 87
Total moment in μB/cell: 0.000
D(E_F) in states/eV per atom: 0.864

a b c (Å): 4.075 4.075 4.075
angles (deg): 90.00 90.00 90.00
Space group Pm-3m (No. 221)
One atom of each set of equivalent atoms:
Cd 0.000 0.000 0.000 (multiplicity 1)
Ge 0.500 0.500 0.500 (multiplicity 1)
O 0.000 0.000 0.500 (multiplicity 3)


Here is CdInTc2As after structural relaxation from the Alexandria database. Energies are from PBE.

Computed properties:
Total moment in μB/cell: 5.689
D(E_F) in states/eV per atom: 1.052
ΔE_f in eV/atom: 1.8103

a b c (Å): 5.089 5.089 5.096
angles (deg): 90.00 90.00 90.00
Space group P4/mmm (No. 123)
One atom of each set of equivalent atoms:
Cd 0.000 0.000 0.000 (multiplicity 1)
In 0.000 0.000 0.500 (multiplicity 1)
Tc 0.000 0.500 0.500 (multiplicity 2)
As 0.500 0.500 0.000 (multiplicity 1)


Here is Co2Ni3Pt after structural relaxation from the Alexandria database. Energies are from PBE.

Computed properties:
Total moment in μB/cell: 24.414
D(E_F) in states/eV per atom: 1.152
ΔE_f in eV/atom: 0.1372
E above lowest polymorph in meV per atom: 178

a b c (Å): 12.334 4.820 4.980
angles (deg): 90.00 90.00 90.00
Space group Cmcm (No. 63)
One atom of each set of equivalent atoms:
Co 0.152 0.000 0.000 (multiplicity 8)
Ni 0.000 0.212 0.250 (multiplicity 4)
Ni 0.183 0.459 0.250 (multiplicity 8)
Pt 0.000 0.291 0.750 (multiplicity 4)


Here is PrSm2ThSe4 after structural relaxation from the Alexandria database. Energies are from PBE.

Computed properties:
Formation energy without anion corrections in meV/atom: -1747
Total moment in μB/cell: 0.000
D(E_F) in states/eV per atom: 0.524

a b c (Å): 7.277 4.174 7.315
angles (deg): 90.00 109.20 90.00
Space group P2/m (No. 10)
One atom of each set of equivalent atoms:
Pr 0.000 0.000 0.000 (multiplicity 1)
Sm 0.000 0.500 0.500 (multiplicity 1)
Sm 0.500 0.000 0.500 (multiplicity 1)
Th 0.500 0.500 0.000 (multiplicity 1)
Se 0.250 0.000 0.744 (multiplicity 2)
Se 0.254 0.500 0.257 (multiplicity 2)


Here is Pm6CdPb after structural relaxation from the Alexandria database. Energies are from PBE.

Computed properties:
Total moment in μB/cell: 0.044
D(E_F) in states/eV per atom: 1.782
ΔE_f in eV/atom: -0.2169

a b c (Å): 4.976 4.976 9.879
angles (deg): 90.00 90.00 90.00
Space group P4/mmm (No. 123)
One atom of each set of equivalent atoms:
Pm 0.000 0.000 0.000 (multiplicity 1)
Pm 0.000 0.000 0.500 (multiplicity 1)
Pm 0.000 0.500 0.249 (multiplicity 4)
Cd 0.500 0.500 0.000 (multiplicity 1)
Pb 0.500 0.500 0.500 (multiplicity 1)


Here is Nd2Cu3Rh after structural relaxation from the Alexandria database. Energies are from PBE.

Computed properties:
Total moment in μB/cell: 0.000
D(E_F) in states/eV per atom: 0.585
ΔE_f in eV/atom: -0.3315
E above lowest polymorph in meV per atom: 0

a b c (Å): 7.611 8.608 14.810
angles (deg): 90.00 90.00 90.00
Space group Fmmm (No. 69)
One atom of each set of equivalent atoms:
Nd 0.245 0.000 0.000 (multiplicity 8)
Nd 0.250 0.250 0.250 (multiplicity 8)
Cu 0.000 0.000 0.334 (multiplicity 8)
Cu 0.000 0.243 0.418 (multiplicity 16)
Rh 0.000 0.000 0.163 (multiplicity 8)


Here is Ho4InRu2Au after structural relaxation from the Alexandria database. Energies are from PBE.

Computed properties:
Total moment in μB/cell: 0.000
D(E_F) in states/eV per atom: 0.652
ΔE_f in eV/atom: -0.4735

a b c (Å): 4.9872 4.9872 24.3606
angles (deg): 90.00 90.00 120.00
Space group R-3m (No. 166, hexagonal axes)
One atom of each set of equivalent atoms:
Ho 0.0000 0.0000 0.1217 (multiplicity 6)
Ho 0.0000 0.0000 0.3719 (multiplicity 6)
In 0.0000 0.0000 0.5000 (multiplicity 3)
Ru 0.0000 0.0000 0.2476 (multiplicity 6)
Au 0.0000 0.0000 0.0000 (multiplicity 3)


Here is Sc2BeCu after structural relaxation from the Alexandria database. Energies are from PBE.

Computed properties:
Total moment in μB/cell: 0.000
D(E_F) in states/eV per atom: 1.141
ΔE_f in eV/atom: 0.0942

a b c (Å): 3.909 3.909 8.703
angles (deg): 90.00 90.00 90.00
Space group I-4m2 (No. 119)
One atom of each set of equivalent atoms:
Sc 0.000 0.000 0.000 (multiplicity 2)
Sc 0.000 0.500 0.250 (multiplicity 2)
Be 0.000 0.500 0.750 (multiplicity 2)
Cu 0.000 0.000 0.500 (multiplicity 2)


Here is KOsBr after structural relaxation from the Alexandria database. Energies are from PBE.

Computed properties:
Formation energy without anion corrections in meV/atom: 1421
Total moment in μB/cell: 15.789
D(E_F) in states/eV per atom: 2.001
E above lowest polymorph in meV per atom: 485

a b c (Å): 7.424 7.424 7.424
angles (deg): 90.00 90.00 90.00
Space group F-43m (No. 216)
One atom of each set of equivalent atoms:
K 0.000 0.000 0.000 (multiplicity 4)
Os 0.000 0.000 0.500 (multiplicity 4)
Br 0.250 0.250 0.750 (multiplicity 4)


Here is Y2BeCdPt6 after structural relaxation from the Alexandria database. Energies are from PBE.

Computed properties:
Total moment in μB/cell: 0.000
D(E_F) in states/eV per atom: 0.358
ΔE_f in eV/atom: -0.7935

a b c (Å): 5.5515 5.5515 24.3419
angles (deg): 90.00 90.00 120.00
Space group R-3m (No. 166, hexagonal axes)
One atom of each set of equivalent atoms:
Y 0.0000 0.0000 0.1993 (multiplicity 6)
Be 0.0000 0.0000 0.5000 (multiplicity 3)
Cd 0.0000 0.0000 0.0000 (multiplicity 3)
Pt 0.0010 0.5005 0.2378 (multiplicity 18)


Here is Pr2GaCo2Ni5 after structural relaxation from the Alexandria database. Energies are from PBE.

Computed properties:
Total moment in μB/cell: 4.971
D(E_F) in states/eV per atom: 1.196
ΔE_f in eV/atom: -0.0993

a b c (Å): 8.959 8.959 3.793
angles (deg): 90.00 90.00 90.00
Space group P4/mbm (No. 127)
One atom of each set of equivalent atoms:
Pr 0.184 0.316 0.000 (multiplicity 4)
Ga 0.000 0.000 0.000 (multiplicity 2)
Co 0.112 0.612 0.000 (multiplicity 4)
Ni 0.000 0.500 0.500 (multiplicity 2)
Ni 0.057 0.792 0.500 (multiplicity 8)


Here is YAlInB2 after structural relaxation from the Alexandria database. Energies are from PBE.

Computed properties:
Total moment in μB/cell: 0.000
D(E_F) in states/eV per atom: 0.677
ΔE_f in eV/atom: 1.3164

a b c (Å): 4.471 4.471 5.192
angles (deg): 90.00 90.00 90.00
Space group P4/mmm (No. 123)
One atom of each set of equivalent atoms:
Y 0.000 0.000 0.000 (multiplicity 1)
Al 0.500 0.500 0.000 (multiplicity 1)
In 0.500 0.500 0.500 (multiplicity 1)
B 0.000 0.500 0.500 (multiplicity 2)


Here is LiBe3C after structural relaxation from the Alexandria database. Energies are from PBE.

Computed properties:
Total moment in μB/cell: 0.000
D(E_F) in states/eV per atom: 0.223
ΔE_f in eV/atom: 0.3500
E above lowest polymorph in meV per atom: 0

a b c (Å): 3.563 3.563 3.563
angles (deg): 90.00 90.00 90.00
Space group Pm-3m (No. 221)
One atom of each set of equivalent atoms:
Li 0.000 0.000 0.000 (multiplicity 1)
Be 0.000 0.500 0.500 (multiplicity 3)
C 0.500 0.500 0.500 (multiplicity 1)


Here is UTl5S6 after structural relaxation from the Alexandria database. Energies are from PBE.

Computed properties:
Formation energy without anion corrections in meV/atom: -623
Total moment in μB/cell: 0.000
D(E_F) in states/eV per atom: 0.785

a b c (Å): 7.422 12.760 7.546
angles (deg): 90.00 107.57 90.00
Space group C2/m (No. 12)
One atom of each set of equivalent atoms:
U 0.000 0.000 0.000 (multiplicity 2)
Tl 0.000 0.169 0.500 (multiplicity 4)
Tl 0.000 0.334 0.000 (multiplicity 4)
Tl 0.000 0.500 0.500 (multiplicity 2)
S 0.208 0.000 0.778 (multiplicity 4)
S 0.211 0.142 0.205 (multiplicity 8)


Here is Cs3ZrSc3Te8 after structural relaxation from the Alexandria database. Energies are from PBE.

Computed properties:
Formation energy without anion corrections in meV/atom: -1179
Total moment in μB/cell: 0.000
D(E_F) in states/eV per atom: 0.003

a b c (Å): 14.746 8.518 10.319
angles (deg): 90.00 118.49 90.00
Space group C2/m (No. 12)
One atom of each set of equivalent atoms:
Cs 0.000 0.000 0.000 (multiplicity 2)
Cs 0.250 0.250 0.000 (multiplicity 4)
Zr 0.000 0.000 0.500 (multiplicity 2)
Sc 0.000 0.500 0.500 (multiplicity 2)
Sc 0.250 0.250 0.500 (multiplicity 4)
Te 0.023 0.250 0.318 (multiplicity 8)
Te 0.227 0.000 0.682 (multiplicity 4)
Te 0.227 0.500 0.681 (multiplicity 4)


Here is Y2TiCrSe after structural relaxation from the Alexandria database. Energies are from PBE.

Computed properties:
Formation energy without anion corrections in meV/atom: 426
Total moment in μB/cell: 1.684
D(E_F) in states/eV per atom: 1.152

a b c (Å): 5.317 5.317 4.489
angles (deg): 90.00 90.00 90.00
Space group P4/mmm (No. 123)
One atom of each set of equivalent atoms:
Y 0.000 0.500 0.000 (multiplicity 2)
Ti 0.000 0.000 0.500 (multiplicity 1)
Cr 0.500 0.500 0.000 (multiplicity 1)
Se 0.500 0.500 0.500 (multiplicity 1)